w) Rb2Tl7Cd | Alexandria | PBE | optimized geometry; space group = No. 115
1.0
5.329 0.000 0.000
0.000 5.329 0.000
0.000 0.000 12.864
Rb Tl Cd
2 7 1
Cartesian
0.000 2.664 3.176
2.664 0.000 9.689
0.000 0.000 0.000
0.000 0.000 6.432
0.000 2.664 8.182
0.000 2.664 11.256
2.664 0.000 1.608
2.664 0.000 4.682
2.664 2.664 6.432
2.664 2.664 0.000

x) Rb2Tl7Cd | Alexandria | PBE | optimized geometry; space group = No. 225
1.0
0.000 5.976 5.976
5.976 0.000 5.976
5.976 5.976 0.000
Rb Tl Cd
2 7 1
Cartesian
2.988 2.988 2.988
8.964 8.964 8.964
0.000 0.000 0.000
5.976 5.976 3.044
5.976 3.044 5.976
8.908 5.976 5.976
3.044 5.976 5.976
5.976 8.908 5.976
5.976 5.976 8.908
5.976 5.976 5.976

Stability, highest: w)

w) RbTl4Cd | Alexandria | PBE | optimized geometry; space group = No. 216
1.0
0.000 4.691 4.691
4.691 0.000 4.691
4.691 4.691 0.000
Rb Tl Cd
1 4 1
Cartesian
0.000 0.000 0.000
3.526 3.526 3.526
5.855 5.855 3.526
5.855 3.526 5.855
3.526 5.855 5.855
7.036 7.036 7.036

x) RbTl4Cd | Alexandria | PBE | optimized geometry; space group = No. 51
1.0
8.956 0.000 0.000
0.000 5.003 0.000
0.000 0.000 9.087
Rb Tl Cd
2 8 2
Cartesian
2.239 0.000 1.106
6.717 0.000 7.981
0.000 0.000 4.544
0.503 2.501 7.294
2.239 2.501 4.033
3.975 2.501 7.294
4.478 0.000 4.544
4.981 2.501 1.793
6.717 2.501 5.054
8.453 2.501 1.793
2.239 0.000 6.587
6.717 0.000 2.501

Stability, highest: x)

w) RbTl6Cd2 | Alexandria | PBE | optimized geometry; space group = No. 123
1.0
5.141 0.000 0.000
0.000 5.141 0.000
0.000 0.000 11.166
Rb Tl Cd
1 6 2
Cartesian
0.000 0.000 0.000
0.000 0.000 5.583
0.000 2.570 3.280
0.000 2.570 7.886
2.570 0.000 3.280
2.570 0.000 7.886
2.570 2.570 5.583
2.570 2.570 1.455
2.570 2.570 9.712

x) RbTl6Cd2 | Alexandria | PBE | optimized geometry; space group = No. 227
1.0
0.000 7.056 7.056
7.056 0.000 7.056
7.056 7.056 0.000
Rb Tl Cd
2 12 4
Cartesian
1.764 1.764 1.764
12.348 12.348 12.348
5.292 5.292 1.794
5.292 1.794 5.292
8.790 5.292 5.292
8.820 8.820 5.322
8.820 5.322 8.820
12.318 8.820 8.820
1.794 5.292 5.292
5.292 8.790 5.292
5.292 5.292 8.790
5.322 8.820 8.820
8.820 12.318 8.820
8.820 8.820 12.318
7.056 3.528 3.528
3.528 7.056 3.528
3.528 3.528 7.056
7.056 7.056 7.056

Stability, highest: w)

w) RbTl8Cd2 | Alexandria | PBE | optimized geometry; space group = No. 123
1.0
6.443 0.000 0.000
0.000 6.443 0.000
0.000 0.000 10.890
Rb Tl Cd
1 8 2
Cartesian
0.000 0.000 0.000
1.621 1.621 3.197
1.621 1.621 7.693
1.621 4.822 3.197
1.621 4.822 7.693
4.822 1.621 3.197
4.822 1.621 7.693
4.822 4.822 3.197
4.822 4.822 7.693
0.000 3.221 5.445
3.221 0.000 5.445

x) RbTl8Cd2 | Alexandria | PBE | optimized geometry; space group = No. 12
1.0
8.820 -3.291 0.000
8.820 3.291 0.000
-0.475 0.000 6.055
Rb Tl Cd
1 8 2
Cartesian
0.000 0.000 0.000
6.821 1.642 2.804
3.707 0.000 0.763
10.343 1.642 3.251
6.585 0.000 5.941
10.579 0.000 0.114
6.821 -1.642 2.804
13.458 0.000 5.292
10.343 -1.642 3.251
4.230 0.000 3.851
12.934 0.000 2.204

Stability, highest: x)

w) RbVCd3 | Alexandria | PBE | optimized geometry; space group = No. 221
1.0
6.476 0.000 0.000
0.000 6.476 0.000
0.000 0.000 6.476
Rb V Cd
1 1 3
Cartesian
0.000 0.000 0.000
3.238 3.238 3.238
0.000 0.000 3.238
0.000 3.238 0.000
3.238 0.000 0.000

x) RbVCd3 | Alexandria | PBE | optimized geometry; space group = No. 221
1.0
5.519 0.000 0.000
0.000 5.519 0.000
0.000 0.000 5.519
Rb V Cd
1 1 3
Cartesian
0.000 0.000 0.000
2.759 2.759 2.759
0.000 2.759 2.759
2.759 0.000 2.759
2.759 2.759 0.000

Stability, highest: x)

w) RbV3Cd | Alexandria | PBE | optimized geometry; space group = No. 221
1.0
5.329 0.000 0.000
0.000 5.329 0.000
0.000 0.000 5.329
Rb V Cd
1 3 1
Cartesian
0.000 0.000 0.000
0.000 2.664 2.664
2.664 0.000 2.664
2.664 2.664 0.000
2.664 2.664 2.664

x) RbV3Cd | Alexandria | PBE | optimized geometry; space group = No. 221
1.0
4.531 0.000 0.000
0.000 4.531 0.000
0.000 0.000 4.531
Rb V Cd
1 3 1
Cartesian
0.000 0.000 0.000
0.000 0.000 2.266
0.000 2.266 0.000
2.266 0.000 0.000
2.266 2.266 2.266

Stability, highest: w)